{
  "formula": "Tl2CrW",
  "functional": "meta-GGA SCAN",
  "state": "single point on PBEsol structure",
  "lattice": [[3.601, 0.000, 0.000], [0.000, 4.520, 0.000], [0.000, 0.000, 4.520]],
  "species": ["W", "Tl", "Tl", "Cr"],
  "frac_coords": [[0.500, 0.500, 0.500], [0.000, 0.500, 0.000], [0.000, 0.000, 0.500], [0.500, 0.000, 0.000]],
  "delta_e_f_ev_per_atom": 0.961,
  "e_above_lowest_polymorph_ev_per_fu": 0.37
}